A plane-wave DFT calculation with GGA+U was carried out for a geometry-optimized Mn3IF structure.

Lattice parameters (Å, degrees): 4.828 4.828 4.828 90.00 90.00 90.00
Each line ends with the local moment (μB).
Atoms (fractional coordinates):
I: 0.500 0.500 0.500  0.08
Mn: 0.000 0.500 0.000  4.56
Mn: 0.500 0.000 0.000  4.49
Mn: 0.000 0.000 0.500  4.58
F: 0.000 0.000 0.000  0.07

Computed properties:
- V: 112.5 Å³ per cell
- Total energy: -5.041 eV/atom
- Size of the total moment: 14.3 μB/cell
- Density: 4.59 g/cm³